# BaTcAs2 | Alexandria | PBE | optimized geometry
# Relative energy among the computed polymorphs ... 425 meV/atom
# ΔE_f ... 0.0 eV per formula unit
# Total magnetization ... 0.0 μB per cell
data_BaTcAs2
_cell_length_a 3.233
_cell_length_b 3.909
_cell_length_c 7.910
_cell_angle_alpha 90.00
_cell_angle_beta 90.00
_cell_angle_gamma 90.00
_symmetry_space_group_name_H-M 'P m m 2'
_symmetry_Int_Tables_number 25
_symmetry_space_group_name_Hall 'P 2 -2'
loop_
_atom_site_label
_atom_site_type_symbol
_atom_site_fract_x
_atom_site_fract_y
_atom_site_fract_z
Ba1 Ba 0.000 0.000 0.000
Tc1 Tc 0.500 0.500 0.438
As1 As 0.000 0.000 0.412
As2 As 0.500 0.500 0.741

=====

# BaTc2As | Alexandria | PBE | optimized geometry
# ΔE_f ... 2.9 eV per formula unit
# Total magnetization ... 0.0 μB per cell
data_BaTc2As
_cell_length_a 3.1770
_cell_length_b 3.1770
_cell_length_c 27.4449
_cell_angle_alpha 90.00
_cell_angle_beta 90.00
_cell_angle_gamma 120.00
_symmetry_space_group_name_H-M 'R -3 m'
_symmetry_Int_Tables_number 166
_symmetry_space_group_name_Hall '-R 3 2"'
loop_
_atom_site_label
_atom_site_type_symbol
_atom_site_fract_x
_atom_site_fract_y
_atom_site_fract_z
Ba1 Ba 0.0000 0.0000 0.0000
Tc1 Tc 0.0000 0.0000 0.2294
As1 As 0.0000 0.0000 0.5000

=====

# BaTc4As | Alexandria | PBE | optimized geometry
# ΔE_f ... 4.8 eV per formula unit
# Total magnetization ... 0.0 μB per cell
data_BaTc4As
_cell_length_a 7.682
_cell_length_b 7.682
_cell_length_c 7.682
_cell_angle_alpha 90.00
_cell_angle_beta 90.00
_cell_angle_gamma 90.00
_symmetry_space_group_name_H-M 'F -4 3 m'
_symmetry_Int_Tables_number 216
_symmetry_space_group_name_Hall 'F -4 2 3'
loop_
_atom_site_label
_atom_site_type_symbol
_atom_site_fract_x
_atom_site_fract_y
_atom_site_fract_z
Ba1 Ba 0.000 0.000 0.000
Tc1 Tc 0.122 0.122 0.622
As1 As 0.250 0.250 0.250

=====

# BaTc2As | Alexandria | PBE | optimized geometry
# ΔE_f ... -0.1 eV per formula unit
# Total magnetization ... 0.0 μB per cell
data_BaTc2As
_cell_length_a 7.698
_cell_length_b 4.402
_cell_length_c 6.521
_cell_angle_alpha 90.00
_cell_angle_beta 112.92
_cell_angle_gamma 90.00
_symmetry_space_group_name_H-M 'C 1 2/m 1'
_symmetry_Int_Tables_number 12
_symmetry_space_group_name_Hall '-C 2y'
loop_
_atom_site_label
_atom_site_type_symbol
_atom_site_fract_x
_atom_site_fract_y
_atom_site_fract_z
Ba1 Ba 0.000 0.000 0.000
Tc1 Tc 0.181 0.000 0.534
As1 As 0.000 0.500 0.500

=====

# BaTcAs3 | Alexandria | PBE | optimized geometry
# Relative energy among the computed polymorphs ... 0 meV/atom
# ΔE_f ... -1.0 eV per formula unit
# Total magnetization ... 0.0 μB per cell
data_BaTcAs3
_cell_length_a 4.978
_cell_length_b 4.978
_cell_length_c 4.978
_cell_angle_alpha 90.00
_cell_angle_beta 90.00
_cell_angle_gamma 90.00
_symmetry_space_group_name_H-M 'P m -3 m'
_symmetry_Int_Tables_number 221
_symmetry_space_group_name_Hall '-P 4 2 3'
loop_
_atom_site_label
_atom_site_type_symbol
_atom_site_fract_x
_atom_site_fract_y
_atom_site_fract_z
Ba1 Ba 0.000 0.000 0.000
Tc1 Tc 0.500 0.500 0.500
As1 As 0.000 0.500 0.500

=====

# BaTcAs2 | Alexandria | PBE | optimized geometry
# Relative energy among the computed polymorphs ... 906 meV/atom
# ΔE_f ... 2.0 eV per formula unit
# Total magnetization ... 5.8 μB per cell
data_BaTcAs2
_cell_length_a 4.410
_cell_length_b 4.410
_cell_length_c 10.000
_cell_angle_alpha 90.00
_cell_angle_beta 90.00
_cell_angle_gamma 90.00
_symmetry_space_group_name_H-M 'I -4 m 2'
_symmetry_Int_Tables_number 119
_symmetry_space_group_name_Hall 'I -4 -2'
loop_
_atom_site_label
_atom_site_type_symbol
_atom_site_fract_x
_atom_site_fract_y
_atom_site_fract_z
Ba1 Ba 0.000 0.000 0.000
Tc1 Tc 0.000 0.500 0.750
As1 As 0.000 0.000 0.500
As2 As 0.000 0.500 0.250

=====

# BaTc2As | Alexandria | PBE | optimized geometry
# ΔE_f ... 2.2 eV per formula unit
# Total magnetization ... 0.0 μB per cell
data_BaTc2As
_cell_length_a 3.220
_cell_length_b 3.220
_cell_length_c 7.913
_cell_angle_alpha 90.00
_cell_angle_beta 90.00
_cell_angle_gamma 90.00
_symmetry_space_group_name_H-M 'P 4/m m m'
_symmetry_Int_Tables_number 123
_symmetry_space_group_name_Hall '-P 4 2'
loop_
_atom_site_label
_atom_site_type_symbol
_atom_site_fract_x
_atom_site_fract_y
_atom_site_fract_z
Ba1 Ba 0.000 0.000 0.000
Tc1 Tc 0.500 0.500 0.338
As1 As 0.000 0.000 0.500

=====

# BaTc2As | Alexandria | PBE | optimized geometry
# ΔE_f ... 0.5 eV per formula unit
# Total magnetization ... 0.0 μB per cell
data_BaTc2As
_cell_length_a 3.749
_cell_length_b 3.930
_cell_length_c 6.507
_cell_angle_alpha 90.00
_cell_angle_beta 92.43
_cell_angle_gamma 90.00
_symmetry_space_group_name_H-M 'P 1 m 1'
_symmetry_Int_Tables_number 6
_symmetry_space_group_name_Hall 'P -2y'
loop_
_atom_site_label
_atom_site_type_symbol
_atom_site_fract_x
_atom_site_fract_y
_atom_site_fract_z
Ba1 Ba 0.000 0.000 0.000
Tc1 Tc 0.568 0.000 0.464
Tc2 Tc 0.957 0.500 0.461
As1 As 0.469 0.500 0.716

=====

# BaTiTcAs2 | Alexandria | PBE | optimized geometry
# ΔE_f ... 0.2 eV per formula unit
# Total magnetization ... 1.8 μB per cell
data_BaTiTcAs2
_cell_length_a 5.091
_cell_length_b 5.091
_cell_length_c 4.697
_cell_angle_alpha 90.00
_cell_angle_beta 90.00
_cell_angle_gamma 90.00
_symmetry_space_group_name_H-M 'P 4/m m m'
_symmetry_Int_Tables_number 123
_symmetry_space_group_name_Hall '-P 4 2'
loop_
_atom_site_label
_atom_site_type_symbol
_atom_site_fract_x
_atom_site_fract_y
_atom_site_fract_z
Ba1 Ba 0.000 0.000 0.000
Ti1 Ti 0.500 0.500 0.500
Tc1 Tc 0.500 0.500 0.000
As1 As 0.000 0.500 0.500

=====

# Ba2VTcAs | Alexandria | PBE | optimized geometry
# ΔE_f ... 4.6 eV per formula unit
# Total magnetization ... 6.9 μB per cell
data_Ba2VTcAs
_cell_length_a 6.273
_cell_length_b 6.273
_cell_length_c 4.676
_cell_angle_alpha 90.00
_cell_angle_beta 90.00
_cell_angle_gamma 90.00
_symmetry_space_group_name_H-M 'P 4/m m m'
_symmetry_Int_Tables_number 123
_symmetry_space_group_name_Hall '-P 4 2'
loop_
_atom_site_label
_atom_site_type_symbol
_atom_site_fract_x
_atom_site_fract_y
_atom_site_fract_z
Ba1 Ba 0.000 0.500 0.000
V1 V 0.000 0.000 0.000
Tc1 Tc 0.500 0.500 0.500
As1 As 0.000 0.000 0.500

=====

# BaTeAs2 | Alexandria | PBE | optimized geometry
# Total magnetization ... 0.0 μB per cell
# Raw total energy ... -3.746 eV per atom
data_BaTeAs2
_cell_length_a 7.045
_cell_length_b 7.045
_cell_length_c 13.358
_cell_angle_alpha 90.00
_cell_angle_beta 90.00
_cell_angle_gamma 90.00
_symmetry_space_group_name_H-M 'I -4 2 d'
_symmetry_Int_Tables_number 122
_symmetry_space_group_name_Hall 'I -4 2bw'
loop_
_atom_site_label
_atom_site_type_symbol
_atom_site_fract_x
_atom_site_fract_y
_atom_site_fract_z
Ba1 Ba 0.000 0.000 0.000
Te1 Te 0.000 0.000 0.500
As1 As 0.188 0.250 0.625

=====

# BaTeAs2 | Alexandria | PBE | optimized geometry
# Total magnetization ... 0.0 μB per cell
# Raw total energy ... -4.162 eV per atom
data_BaTeAs2
_cell_length_a 5.031
_cell_length_b 4.576
_cell_length_c 5.900
_cell_angle_alpha 90.00
_cell_angle_beta 100.83
_cell_angle_gamma 90.00
_symmetry_space_group_name_H-M 'P 1 2/m 1'
_symmetry_Int_Tables_number 10
_symmetry_space_group_name_Hall '-P 2y'
loop_
_atom_site_label
_atom_site_type_symbol
_atom_site_fract_x
_atom_site_fract_y
_atom_site_fract_z
Ba1 Ba 0.000 0.000 0.000
Te1 Te 0.500 0.000 0.500
As1 As 0.382 0.500 0.801